# 1
Material: SrAc5Pr
Method: DFT, PBE-GGA
State: relaxed

Cell: 5.939 5.939 9.408 Å, 90.00 90.00 90.00°
Atoms (fractional coordinates):
Sr 0.000 0.000 0.000
Ac 0.500 0.500 0.000
Ac 0.500 0.000 0.289
Ac 0.000 0.500 0.289
Ac 0.500 0.000 0.711
Ac 0.000 0.500 0.711
Pr 0.000 0.000 0.500

Results
total magnetization	0.0	μB per formula unit
DFT total energy	-25.28	eV for the cell shown
calculated volume	332	Å³ per cell
DFT formation energy	0.25	eV per atom



# 2
Material: SrAc4Pr5
Method: DFT, PBE-GGA
State: relaxed

Cell: 3.911 3.911 26.795 Å, 90.00 90.00 90.00°
Atoms (fractional coordinates):
Sr 0.000 0.000 0.000
Ac 0.000 0.000 0.204
Ac 0.000 0.000 0.401
Ac 0.000 0.000 0.599
Ac 0.000 0.000 0.796
Pr 0.500 0.500 0.109
Pr 0.500 0.500 0.303
Pr 0.500 0.500 0.500
Pr 0.500 0.500 0.697
Pr 0.500 0.500 0.891

Results
total magnetization	0.0	μB per formula unit
DFT total energy	-41.58	eV for the cell shown
calculated volume	410	Å³ per cell
DFT formation energy	0.04	eV per atom



# 3
Material: SrAcPr
Method: DFT, PBE-GGA
State: relaxed

Cell: 3.960 3.960 9.767 Å, 90.00 90.00 120.00°
Atoms (fractional coordinates):
Pr 0.000 0.000 0.011
Sr 0.333 0.667 0.674
Ac 0.667 0.333 0.315

Results
total magnetization	0.0	μB per formula unit
relative energy among the computed polymorphs	4	kJ/mol of formula units
DFT total energy	-10.37	eV for the cell shown
calculated volume	133	Å³ per cell
DFT formation energy	0.07	eV per atom



# 4
Material: SrAc7Pr12
Method: DFT, PBE-GGA
State: relaxed

Cell: 10.720 10.720 10.720 Å, 109.47 109.47 109.47°
Atoms (fractional coordinates):
Sr 0.000 0.000 0.000
Ac 0.500 0.500 0.000
Ac 0.000 0.500 0.500
Ac 0.500 0.000 0.500
Ac 0.500 0.500 0.500
Ac 0.000 0.000 0.500
Ac 0.500 0.000 0.000
Ac 0.000 0.500 0.000
Pr 0.419 0.665 0.754
Pr 0.911 0.665 0.246
Pr 0.581 0.335 0.246
Pr 0.089 0.335 0.754
Pr 0.754 0.089 0.335
Pr 0.754 0.419 0.665
Pr 0.246 0.911 0.665
Pr 0.246 0.581 0.335
Pr 0.665 0.754 0.419
Pr 0.335 0.246 0.581
Pr 0.665 0.246 0.911
Pr 0.335 0.754 0.089

Results
total magnetization	0.0	μB per formula unit
DFT total energy	-74.36	eV for the cell shown
calculated volume	948	Å³ per cell
DFT formation energy	0.67	eV per atom



# 5
Material: SrAcPr2
Method: DFT, PBE-GGA
State: relaxed

Cell: 3.882 3.882 13.005 Å, 81.42 81.42 60.00°
Atoms (fractional coordinates):
Sr 0.667 0.667 0.000
Ac 0.500 0.500 0.500
Pr 0.086 0.086 0.741
Pr 0.247 0.247 0.259

Results
total magnetization	0.0	μB per formula unit
relative energy among the computed polymorphs	5	kJ/mol of formula units
DFT total energy	-14.97	eV for the cell shown
calculated volume	167	Å³ per cell
DFT formation energy	0.09	eV per atom



# 6
Material: SrAc12Pr3
Method: DFT, PBE-GGA
State: relaxed

Cell: 5.593 5.593 22.331 Å, 90.00 90.00 90.00°
Atoms (fractional coordinates):
Sr 0.000 0.000 0.000
Ac 0.500 0.500 0.000
Ac 0.500 0.500 0.253
Ac 0.500 0.500 0.500
Ac 0.500 0.500 0.747
Ac 0.500 0.000 0.131
Ac 0.500 0.000 0.377
Ac 0.500 0.000 0.623
Ac 0.500 0.000 0.869
Ac 0.000 0.500 0.131
Ac 0.000 0.500 0.377
Ac 0.000 0.500 0.623
Ac 0.000 0.500 0.869
Pr 0.000 0.000 0.252
Pr 0.000 0.000 0.500
Pr 0.000 0.000 0.748

Results
total magnetization	0.0	μB per formula unit
DFT total energy	-64.85	eV for the cell shown
calculated volume	699	Å³ per cell
DFT formation energy	0.03	eV per atom